[1]
Crystalline NaCaGa2Ni at its relaxed geometry, computed with PBE-GGA.

The structure belongs to space group P4/mmm (No. 123); the cell edges are 4.706, 4.706 and 5.158 Å and the angles 90.00°, 90.00° and 90.00°. Symmetry generates all atoms from Na at (0.000, 0.000, 0.000), Ca at (0.500, 0.500, 0.000), Ga at (0.000, 0.500, 0.500) and Ni at (0.500, 0.500, 0.500).

The calculation puts the formation energy at -0.174 eV/atom.

---

[2]
Crystalline Mg3TiI at its relaxed geometry, computed with PBE-GGA.

The structure belongs to space group Pm-3m (No. 221); the cell edges are 5.498, 5.498 and 5.498 Å and the angles 90.00°, 90.00° and 90.00°. Symmetry generates all atoms from Mg at (0.000, 0.000, 0.500), Ti at (0.500, 0.500, 0.500) and I at (0.000, 0.000, 0.000).

The energy above the most stable polymorph in this dataset is 0.220 eV per atom. As for the uncorrected formation energy: 0.987 eV/atom.

---

Taking the records one at a time from the top gives total moment values of 0.000, 0.601 μB/atom.